Entry 1:
This record from Alexandria describes a relaxed Ba2NbNO3 crystal. The functional is PBE.

Unit cell a=4.164 b=4.160 c=7.418 alpha=106.28 beta=106.30 gamma=90.00
Fractional coordinates of all 7 atoms:
N (0.500, 0.000, 0.000)
Ba (0.645, 0.645, 0.290)
Ba (0.355, 0.355, 0.710)
O (0.152, 0.152, 0.304)
O (0.000, 0.500, 0.000)
O (0.848, 0.848, 0.696)
Nb (0.000, 0.000, 0.000)

Computed properties:
* energy relative to the elements, uncorrected: -2276 meV/atom
* space group: Immm (71)

Entry 2:
This record from Alexandria describes a relaxed Y2Er6Tm3Th crystal. The functional is PBE.

Unit cell a=6.101 b=6.101 c=11.670 alpha=95.00 beta=95.00 gamma=119.96
Fractional coordinates of all 12 atoms:
Tm (0.167, 0.833, 0.500)
Tm (0.833, 0.167, 0.500)
Tm (0.500, 0.500, 0.500)
Er (0.586, 0.915, 0.748)
Er (0.245, 0.245, 0.748)
Er (0.915, 0.586, 0.748)
Er (0.755, 0.755, 0.252)
Er (0.085, 0.414, 0.252)
Er (0.414, 0.085, 0.252)
Th (0.000, 0.000, 0.000)
Y (0.667, 0.333, 0.000)
Y (0.333, 0.667, 0.000)

Computed properties:
* space group: C2/m (12)
* energy of formation: 3 kJ per mole of atoms

Entry 3:
This record from Alexandria describes a relaxed NaBeHgW2 crystal. The functional is PBE.

Unit cell a=4.292 b=4.776 c=4.292 alpha=90.00 beta=90.00 gamma=90.00
Fractional coordinates of all 5 atoms:
Hg (0.500, 0.500, 0.500)
Na (0.000, 0.500, 0.000)
W (0.500, 0.000, 0.000)
W (0.000, 0.000, 0.500)
Be (0.000, 0.000, 0.000)

Computed properties:
* space group: P4/mmm (123)
* energy of formation: 120 kJ per mole of atoms

Entry 4:
This record from Alexandria describes a relaxed BaMg3Pb3 crystal. The functional is PBE.

Unit cell a=8.032 b=8.032 c=8.032 alpha=90.00 beta=90.00 gamma=90.00
Fractional coordinates of all 14 atoms:
Mg (0.500, 0.000, 0.750)
Mg (0.250, 0.500, 0.000)
Mg (0.000, 0.750, 0.500)
Mg (0.750, 0.500, 0.000)
Mg (0.000, 0.250, 0.500)
Mg (0.500, 0.000, 0.250)
Pb (0.500, 0.750, 0.000)
Pb (0.500, 0.250, 0.000)
Pb (0.250, 0.000, 0.500)
Pb (0.750, 0.000, 0.500)
Pb (0.000, 0.500, 0.250)
Pb (0.000, 0.500, 0.750)
Ba (0.500, 0.500, 0.500)
Ba (0.000, 0.000, 0.000)

Computed properties:
* excess energy over the best structure of this formula in the dataset: 1.472 eV per formula unit
* space group: Pm-3n (223)
* energy of formation: 6 kJ per mole of atoms

Entry 5:
This record from Alexandria describes a relaxed NdPuOs crystal. The functional is PBE.

Unit cell a=4.309 b=4.490 c=4.490 alpha=120.00 beta=90.00 gamma=90.00
Last column: magnetic moment on the atom in μB.
Fractional coordinates of all 3 atoms:
Nd (0.667, 0.667, 0.333)  0.19
Os (0.167, 0.000, 0.000)  -0.41
Pu (0.167, 0.333, 0.667)  5.03

Computed properties:
* excess energy over the best structure of this formula in the dataset: 0.727 eV per formula unit
* space group: P-6m2 (187)
* energy of formation: 16 kJ per mole of atoms

Entry 6:
This record from Alexandria describes a relaxed HfGaBiMo2 crystal. The functional is PBE.

Unit cell a=5.094 b=5.042 c=5.094 alpha=90.00 beta=90.00 gamma=90.00
Last column: magnetic moment on the atom in μB.
Fractional coordinates of all 5 atoms:
Ga (0.000, 0.500, 0.000)  0.01
Mo (0.500, 0.000, 0.000)  1.36
Mo (0.000, 0.000, 0.500)  1.45
Bi (0.000, 0.000, 0.000)  -0.03
Hf (0.500, 0.500, 0.500)  -0.20

Computed properties:
* space group: P4/mmm (123)
* energy of formation: 187 kJ per mole of atoms

Entry 7:
This record from Alexandria describes a relaxed HfZrReAu crystal. The functional is PBE.

Unit cell a=4.741 b=4.741 c=4.741 alpha=60.00 beta=60.00 gamma=60.00
Fractional coordinates of all 4 atoms:
Au (0.000, 0.000, 0.000)
Zr (0.250, 0.250, 0.250)
Re (0.500, 0.500, 0.500)
Hf (0.750, 0.750, 0.750)

Computed properties:
* space group: F-43m (216)
* energy of formation: -33 kJ per mole of atoms

Entry 8:
This record from Alexandria describes a relaxed Sr3ZrSn crystal. The functional is PBE.

Unit cell a=6.266 b=6.266 c=6.266 alpha=90.00 beta=90.00 gamma=90.00
Last column: magnetic moment on the atom in μB.
Fractional coordinates of all 5 atoms:
Sn (0.000, 0.000, 0.000)  -0.04
Sr (0.000, 0.500, 0.000)  0.04
Sr (0.000, 0.000, 0.500)  0.05
Sr (0.500, 0.000, 0.000)  0.05
Zr (0.500, 0.500, 0.500)  1.64

Computed properties:
* excess energy over the best structure of this formula in the dataset: 0.000 eV per formula unit
* space group: Pm-3m (221)
* energy of formation: 50 kJ per mole of atoms

| no. | total magnetic moment (μB per cell) | electronic total energy (eV per atom) |
| --- | --- | --- |
| 1 | 0.0 | -7.579 |
| 2 | 0.0 | -5.065 |
| 3 | 0.0 | -5.006 |
| 4 | 0.0 | -2.487 |
| 5 | 5.1 | -9.945 |
| 6 | 2.9 | -5.770 |
| 7 | 0.0 | -8.901 |
| 8 | 3.9 | -3.003 |